Zn2SeCl2O3: relaxed, PBE-GGA.

Structure (POSCAR):
```
Zn2SeCl2O3
1.0
7.5411 0.0000 0.0000
0.0000 10.2954 0.0000
-1.3200 0.0000 7.5379
Zn Se Cl O
8 4 8 12
Direct
0.0844 0.2225 0.1258
0.0844 0.2775 0.6258
0.2366 0.5150 0.8930
0.2366 0.9850 0.3930
0.7634 0.0150 0.6070
0.7634 0.4850 0.1070
0.9156 0.7225 0.3742
0.9156 0.7775 0.8742
0.1948 0.0319 0.8172
0.1948 0.4681 0.3172
0.8052 0.5319 0.6828
0.8052 0.9681 0.1828
0.2321 0.7244 0.9663
0.2321 0.7756 0.4663
0.4104 0.0947 0.2369
0.4104 0.4053 0.7369
0.5896 0.5947 0.2631
0.5896 0.9053 0.7631
0.7679 0.2244 0.5337
0.7679 0.2756 0.0337
0.0147 0.0456 0.2197
0.0147 0.4544 0.7197
0.1299 0.1848 0.8788
0.1299 0.3152 0.3788
0.2043 0.0897 0.6059
0.2043 0.4103 0.1059
0.7957 0.5897 0.8941
0.7957 0.9103 0.3941
0.8701 0.6848 0.6212
0.8701 0.8152 0.1212
0.9853 0.5456 0.2803
0.9853 0.9544 0.7803
```



TlIrAuS3: relaxed, PBE-GGA.

Structure (POSCAR):
```
TlIrAuS3
1.0
1.8526 -7.3385 0.0000
1.8526 7.3385 0.0000
0.0000 0.0000 9.5160
Tl Ir Au S
2 2 2 6
Direct
0.1946 0.8054 0.7500
0.8054 0.1946 0.2500
0.5000 0.5000 0.0000
0.5000 0.5000 0.5000
0.1488 0.8512 0.2500
0.8512 0.1488 0.7500
0.1033 0.8967 0.0170
0.1033 0.8967 0.4830
0.4526 0.5474 0.2500
0.5474 0.4526 0.7500
0.8967 0.1033 0.5170
0.8967 0.1033 0.9830
```



NaZrInPd: relaxed, PBE-GGA.

Structure (POSCAR):
```
NaZrInPd
1.0
0.0000 3.4458 3.4458
3.4458 0.0000 3.4458
3.4458 3.4458 0.0000
Na Zr In Pd
1 1 1 1
Direct
0.0000 0.0000 0.0000
0.5000 0.5000 0.5000
0.7500 0.7500 0.7500
0.2500 0.2500 0.2500
```

## Properties
The excess energy over the best structure of this formula in the dataset is 0.46 eV per formula unit.



Values of calculated volume, in order: 18.29, 21.56, 20.46, all in Å³ per atom.
Values of energy, in order: -133.37, -55.65, -18.37, all in eV for the cell shown.